{"formula": "Ac5PmTl4", "functional": "PBE", "state": "relaxed", "lattice_angstrom": [[3.9210, 0.0000, 0.0000], [0.0000, 3.9210, 0.0000], [0.0000, 0.0000, 23.5832]], "species": ["Ac", "Ac", "Ac", "Ac", "Ac", "Pm", "Tl", "Tl", "Tl", "Tl"], "fractional_positions": [[0.0000, 0.0000, 0.0000], [0.0000, 0.0000, 0.1946], [0.0000, 0.0000, 0.3874], [0.0000, 0.0000, 0.6126], [0.0000, 0.0000, 0.8054], [0.5000, 0.5000, 0.5000], [0.5000, 0.5000, 0.0976], [0.5000, 0.5000, 0.2909], [0.5000, 0.5000, 0.7091], [0.5000, 0.5000, 0.9024]], "dft_energy_ev_per_atom": -3.74, "m_tot_mub_per_atom": 0.00}